## MgVB2Ir (PBE)

Data for a relaxed structure of MgVB2Ir.

Cell: 4.010 4.010 4.482 Å, 90.00 90.00 90.00°
Element x y z (fractional)
Mg 0.000 0.000 0.000
V 0.000 0.000 0.500
B 0.000 0.500 0.000
B 0.500 0.000 0.000
Ir 0.500 0.500 0.500

Its formation energy from the elements is 11.43 eV per formula unit. The space-group type is P4/mmm. For the total energy, the calculation gives -21.5 eV for the cell shown.

---

## CsYUSe4 (PBE)

Data for a relaxed structure of CsYUSe4.

Cell: 8.883 8.883 8.883 Å, 118.66 117.77 93.12°
Element x y z (fractional)
Cs 0.379 0.129 0.250
Cs 0.621 0.871 0.750
Y 0.000 0.500 0.500
Y 0.500 0.500 0.000
U 0.000 0.000 0.500
U 0.000 0.500 0.000
Se 0.179 0.735 0.444
Se 0.209 0.265 0.944
Se 0.230 0.280 0.550
Se 0.230 0.680 0.950
Se 0.770 0.320 0.050
Se 0.770 0.720 0.450
Se 0.791 0.735 0.056
Se 0.821 0.265 0.556

For the energy relative to the elements, uncorrected, the calculation gives -1.370 eV per atom. The space-group type is Imma. For the total energy, the calculation gives -84.3 eV for the cell shown.

---

## Tb5CeNd2Dy (PBE)

Data for a relaxed structure of Tb5CeNd2Dy.

Cell: 9.968 9.968 9.968 Å, 128.96 128.96 75.07°
Element x y z (fractional)
Tb 0.000 0.000 0.000
Tb 0.060 0.560 0.905
Tb 0.155 0.060 0.500
Tb 0.345 0.845 0.905
Tb 0.440 0.345 0.500
Tb 0.500 0.500 0.000
Tb 0.560 0.655 0.500
Tb 0.655 0.155 0.095
Tb 0.845 0.940 0.500
Tb 0.940 0.440 0.095
Ce 0.250 0.750 0.500
Ce 0.750 0.250 0.500
Nd 0.122 0.378 0.500
Nd 0.378 0.878 0.256
Nd 0.622 0.122 0.744
Nd 0.878 0.622 0.500
Dy 0.250 0.250 0.000
Dy 0.750 0.750 0.000

Its formation energy from the elements is 2.40 eV per formula unit. The space-group type is I4/mcm. For the total energy, the calculation gives -81.6 eV for the cell shown.

---

## Pt2PbCl8 (PBE)

Data for a relaxed structure of Pt2PbCl8.

Cell: 5.513 7.488 7.501 Å, 71.49 88.88 88.69°
Element x y z (fractional)
Pt 0.246 0.103 0.104
Pt 0.754 0.897 0.896
Pb 0.000 0.500 0.500
Cl 0.244 0.912 0.911
Cl 0.263 0.378 0.847
Cl 0.267 0.844 0.376
Cl 0.283 0.291 0.295
Cl 0.717 0.709 0.705
Cl 0.733 0.156 0.624
Cl 0.737 0.622 0.153
Cl 0.756 0.088 0.089

For the energy relative to the elements, uncorrected, the calculation gives -0.523 eV per atom. The space-group type is P-1. For the total energy, the calculation gives -36.3 eV for the cell shown.

---

Number 1: density of states at the Fermi level 4.4 states/eV/f.u., size of the total moment 0.00 μB per formula unit. Number 2: density of states at the Fermi level 4.8 states/eV/f.u., size of the total moment 2.00 μB per formula unit. Number 3: density of states at the Fermi level 15.7 states/eV/f.u., size of the total moment 0.92 μB per formula unit. Number 4: density of states at the Fermi level 8.8 states/eV/f.u., size of the total moment 0.00 μB per formula unit.